Here is a crystal of As3Pt relaxed with PBEsol from Alexandria via LeMat-Bulk. Energies are from meta-GGA SCAN.

a b c (Å): 2.8565 2.8565 8.7660
angles (deg): 90.00 90.00 90.00
Closest atoms and distances in Å follow each position.
Space group P4/mmm (No. 123)
One atom of each set of equivalent atoms:
As: 0.0000 0.0000 0.0000  4 As 2.86
As: 0.5000 0.5000 0.2892  4 Pt 2.74, 4 As 2.86
Pt: 0.0000 0.0000 0.5000  8 As 2.74, 4 Pt 2.86

Computed properties:
Calculated density (Mg/m³): 9.75
Total moment (μB per cell): 0.00
Energy above the most stable polymorph in this dataset (eV/f.u.): 1.41


Here is a crystal of As3Pt relaxed with PBEsol from Alexandria via LeMat-Bulk. Energies are from meta-GGA SCAN.

a b c (Å): 4.9058 4.9058 4.9058
angles (deg): 90.00 90.00 90.00
Closest atoms and distances in Å follow each position.
Space group Pm-3m (No. 221)
One atom of each set of equivalent atoms:
As: 0.0000 0.0000 0.5000  2 Pt 2.45
Pt: 0.0000 0.0000 0.0000  6 As 2.45

Computed properties:
Calculated density (Mg/m³): 5.91
Total moment (μB per cell): 0.00
Energy above the most stable polymorph in this dataset (eV/f.u.): 4.12


Here is a crystal of AsPt2 relaxed with PBEsol from Alexandria via LeMat-Bulk. Energies are from meta-GGA SCAN.

a b c (Å): 3.1400 3.1400 19.9933
angles (deg): 90.00 90.00 90.00
Closest atoms and distances in Å follow each position.
Space group I4_1/amd (No. 141, origin choice 2)
One atom of each set of equivalent atoms:
As: 0.0000 0.2500 0.3750  8 Pt 2.63
Pt: 0.0000 0.2500 0.8044  4 As 2.63, 3 Pt 2.68-2.82

Computed properties:
Calculated density (Mg/m³): 15.67
Total moment (μB per cell): 0.00
E_tot (eV per atom): -53.54


Here is a crystal of AsPt2 relaxed with PBEsol from Alexandria via LeMat-Bulk. Energies are from meta-GGA SCAN.

a b c (Å): 3.8126 3.8126 3.9150
angles (deg): 90.00 90.00 120.00
Closest atoms and distances in Å follow each position.
Space group P-3m1 (No. 164)
One atom of each set of equivalent atoms:
As: 0.0000 0.0000 0.0000  6 Pt 2.50
Pt: 0.3333 0.6667 0.3004  3 As 2.50, 3 Pt 2.70

Computed properties:
Calculated density (Mg/m³): 15.67
Total moment (μB per cell): 0.00
E_tot (eV per atom): -53.84


Here is a crystal of AsPt2 relaxed with PBEsol from Alexandria via LeMat-Bulk. Energies are from meta-GGA SCAN.

a b c (Å): 3.5968 3.5968 8.9925
angles (deg): 90.00 90.00 120.00
Closest atoms and distances in Å follow each position.
Space group P6_3/mmc (No. 194)
One atom of each set of equivalent atoms:
As: 0.0000 0.0000 0.2500  6 Pt 2.49
Pt: 0.3333 0.6667 0.0970  3 As 2.49, 4 Pt 2.71-2.75

Computed properties:
Calculated density (Mg/m³): 15.33
Total moment (μB per cell): 0.00
E_tot (eV per atom): -53.91


Here is a crystal of AsPt2 relaxed with PBEsol from Alexandria via LeMat-Bulk. Energies are from meta-GGA SCAN.

a b c (Å): 10.3617 3.4335 5.9394
angles (deg): 90.00 113.80 90.00
Closest atoms and distances in Å follow each position.
Space group C2/m (No. 12)
One atom of each set of equivalent atoms:
As: 0.1839 0.0000 0.1404  4 Pt 2.36-2.50
Pt: 0.0676 0.5000 0.8269  3 As 2.46-2.50
Pt: 0.1319 0.0000 0.4929  1 As 2.36

Computed properties:
Calculated density (Mg/m³): 15.98
Total moment (μB per cell): 0.00
E_tot (eV per atom): -53.77


Here is a crystal of Rb2SrAsPt relaxed with PBEsol from Alexandria via LeMat-Bulk. Energies are from meta-GGA SCAN.

a b c (Å): 6.6865 6.6865 4.5878
angles (deg): 90.00 90.00 90.00
Closest atoms and distances in Å follow each position.
Space group P4/mmm (No. 123)
One atom of each set of equivalent atoms:
Rb: 0.0000 0.5000 0.0000  2 As 3.34
Sr: 0.0000 0.0000 0.5000  8 Rb 4.05
As: 0.5000 0.5000 0.0000  2 Pt 2.29
Pt: 0.5000 0.5000 0.5000  2 As 2.29

Computed properties:
Calculated density (Mg/m³): 4.28
Total moment (μB per cell): 0.00
E_tot (eV per atom): -30.89


Here is a crystal of ReAsPt3 relaxed with PBEsol from Alexandria via LeMat-Bulk. Energies are from meta-GGA SCAN.

a b c (Å): 4.7515 4.7515 4.7515
angles (deg): 90.00 90.00 90.00
Closest atoms and distances in Å follow each position.
Space group Pm-3m (No. 221)
One atom of each set of equivalent atoms:
Re: 0.0000 0.0000 0.0000  6 Pt 2.38
As: 0.5000 0.5000 0.5000  12 Pt 3.36
Pt: 0.0000 0.0000 0.5000  2 Re 2.38

Computed properties:
Calculated density (Mg/m³): 13.10
Total moment (μB per cell): 0.00
E_tot (eV per atom): -58.99


Here is a crystal of ReAsPtSe2 relaxed with PBEsol from Alexandria via LeMat-Bulk. Energies are from meta-GGA SCAN.

a b c (Å): 4.8903 4.8903 4.6729
angles (deg): 90.00 90.00 90.00
Closest atoms and distances in Å follow each position.
Space group P4/mmm (No. 123)
One atom of each set of equivalent atoms:
Re: 0.0000 0.0000 0.0000  8 Se 3.38, 4 As 3.46
As: 0.5000 0.5000 0.0000  2 Pt 2.34
Pt: 0.5000 0.5000 0.5000  2 As 2.34, 4 Se 2.45
Se: 0.0000 0.5000 0.5000  2 Pt 2.45

Computed properties:
Calculated density (Mg/m³): 9.13
Total moment (μB per cell): 3.05
ΔE_f (raw) (eV/atom): 1.3988


Here is a crystal of As2PtRh2 relaxed with PBEsol from Alexandria via LeMat-Bulk. Energies are from meta-GGA SCAN.

a b c (Å): 4.1774 4.1774 9.2215
angles (deg): 90.00 90.00 90.00
Closest atoms and distances in Å follow each position.
Space group I4/mmm (No. 139)
One atom of each set of equivalent atoms:
As: 0.0000 0.0000 0.1253  1 As 2.31, 4 Rh 2.38
Pt: 0.0000 0.0000 0.5000  8 Rh 3.11, 10 As 3.17-3.46
Rh: 0.0000 0.5000 0.2500  4 As 2.38

Computed properties:
Calculated density (Mg/m³): 11.37
Total moment (μB per cell): 0.00
E_tot (eV per atom): -35.74


Here is a crystal of AsPtRh3 relaxed with PBEsol from Alexandria via LeMat-Bulk. Energies are from meta-GGA SCAN.

a b c (Å): 4.6785 4.6785 4.6785
angles (deg): 90.00 90.00 90.00
Closest atoms and distances in Å follow each position.
Space group Pm-3m (No. 221)
One atom of each set of equivalent atoms:
As: 0.0000 0.0000 0.0000  12 Rh 3.31
Pt: 0.5000 0.5000 0.5000  6 Rh 2.34
Rh: 0.0000 0.5000 0.5000  2 Pt 2.34

Computed properties:
Calculated density (Mg/m³): 9.38
Total moment (μB per cell): 3.52
E_tot (eV per atom): -36.84


Here is a crystal of As3PtRh relaxed with PBEsol from Alexandria via LeMat-Bulk. Energies are from meta-GGA SCAN.

a b c (Å): 4.7545 4.7545 4.7545
angles (deg): 90.00 90.00 90.00
Closest atoms and distances in Å follow each position.
Space group Pm-3m (No. 221)
One atom of each set of equivalent atoms:
As: 0.0000 0.0000 0.5000  2 Pt 2.38
Pt: 0.0000 0.0000 0.0000  6 As 2.38
Rh: 0.5000 0.5000 0.5000  12 As 3.36

Computed properties:
Calculated density (Mg/m³): 8.08
Total moment (μB per cell): 0.00
E_tot (eV per atom): -31.98


Here is a crystal of As2RuPt relaxed with PBEsol from Alexandria via LeMat-Bulk. Energies are from meta-GGA SCAN.

a b c (Å): 5.7371 8.5840 2.9120
angles (deg): 90.00 120.12 90.00
Closest atoms and distances in Å follow each position.
Space group C2/m (No. 12)
One atom of each set of equivalent atoms:
As: 0.2500 0.2500 0.0000  2 Ru 2.59, 2 Pt 2.59, 4 As 2.87-2.89
Ru: 0.0000 0.0000 0.5000  4 As 2.59, 4 Pt 2.87-2.89
Pt: 0.0000 0.5000 0.5000  4 As 2.59, 4 Ru 2.87-2.89

Computed properties:
Calculated density (Mg/m³): 11.94
Total moment (μB per cell): 0.00
Energy above the most stable polymorph in this dataset (eV/f.u.): 0.79


Here is a crystal of AsRu2Pt relaxed with PBEsol from Alexandria via LeMat-Bulk. Energies are from meta-GGA SCAN.

a b c (Å): 2.7890 2.7890 7.4435
angles (deg): 90.00 90.00 90.00
Closest atoms and distances in Å follow each position.
Space group P4mm (No. 99)
One atom of each set of equivalent atoms:
As: 0.0000 0.0000 0.0000  4 Ru 2.67, 4 As 2.79, 4 Pt 2.84
Ru: 0.0000 0.0000 0.5326  8 Ru 2.59-2.79, 4 Pt 2.75
Ru: 0.5000 0.5000 0.7587  8 Ru 2.59-2.79, 4 As 2.67
Pt: 0.5000 0.5000 0.2746  4 Ru 2.75, 4 Pt 2.79, 4 As 2.84

Computed properties:
Calculated density (Mg/m³): 13.54
Total moment (μB per cell): 0.00
E_tot (eV per atom): -39.90